Below is an optimized crystal structure of KCuN, with properties calculated at the PBE-GGA level.

## Properties
Symmetry: No. 63
DOS(E_F): 2.56 states/eV per cell
Energy relative to the elements, uncorrected: 0.32 eV/atom
Crystal system: orthorhombic

Cell: 5.326 5.326 6.913 Å, 90.00 90.00 119.92°
Positions (direct):
K (0.167, 0.833, 0.750)
K (0.833, 0.167, 0.250)
Cu (0.500, 0.500, 0.250)
Cu (0.500, 0.500, 0.750)
N (0.500, 0.500, 0.000)
N (0.500, 0.500, 0.500)